LaCu2Ni: optimized geometry, PBE.

abc: 3.250 3.241 6.425
angles: 90.00 90.00 90.00
Sites, in units of the cell vectors:
Cu 0.500 0.500 0.180
La 0.000 0.000 0.517
Cu 0.000 0.000 0.997
Ni 0.500 0.500 0.806

raw total energy: -4.717 eV/atom
DFT formation energy: 0.0082 eV per atom
M_tot: 0.000 μB per atom
space group: P4mm

***

Pm2ErZn2: optimized geometry, PBE.

abc: 4.374 4.540 13.485
angles: 100.03 90.00 90.00
Sites, in units of the cell vectors:
Zn 0.250 0.526 0.052
Pm 0.250 0.264 0.528
Pm 0.750 0.736 0.472
Zn 0.750 0.165 0.333
Zn 0.750 0.474 0.948
Er 0.250 0.636 0.271
Pm 0.250 0.943 0.889
Pm 0.750 0.057 0.111
Zn 0.250 0.835 0.667
Er 0.750 0.364 0.729

raw total energy: -3.462 eV/atom
DFT formation energy: -0.1396 eV per atom
M_tot: 0.000 μB per atom
energy above the most stable polymorph in this dataset: 58 meV/atom
space group: P2_1/m

***

Li3CuO2: optimized geometry, PBE.

abc: 8.800 5.149 6.280
angles: 67.94 90.00 90.00
Sites, in units of the cell vectors:
O 0.004 0.087 0.215
O 0.153 0.503 0.607
O 0.996 0.913 0.785
Li 0.467 0.230 0.368
Li 0.533 0.770 0.632
O 0.347 0.503 0.107
O 0.653 0.497 0.893
Li 0.990 0.755 0.504
Cu 0.315 0.271 0.678
O 0.847 0.497 0.393
O 0.496 0.087 0.715
Li 0.033 0.230 0.868
Li 0.304 0.711 0.312
Cu 0.815 0.729 0.822
Li 0.010 0.245 0.496
O 0.504 0.913 0.285
Li 0.196 0.711 0.812
Li 0.967 0.770 0.132
Li 0.510 0.755 0.004
Cu 0.685 0.729 0.322
Li 0.490 0.245 0.996
Li 0.804 0.289 0.188
Li 0.696 0.289 0.688
Cu 0.185 0.271 0.178

raw total energy: -4.713 eV/atom
M_tot: 0.000 μB per atom
energy above the most stable polymorph in this dataset: 76 meV/atom
uncorrected formation energy: -8.52 eV per formula unit
space group: P2_1/c

***

K3Sn8Bi3: optimized geometry, PBE.

abc: 4.937 10.370 10.370
angles: 68.92 76.23 76.23
Sites, in units of the cell vectors:
Sn 0.662 0.057 0.619
Sn 0.338 0.943 0.381
K 0.807 0.193 0.193
Sn 0.338 0.381 0.943
Sn 0.151 0.482 0.216
Bi 0.000 0.203 0.797
K 0.500 0.500 0.500
K 0.193 0.807 0.807
Sn 0.849 0.518 0.784
Bi 0.500 0.000 0.000
Sn 0.849 0.784 0.518
Bi 0.000 0.797 0.203
Sn 0.151 0.216 0.482
Sn 0.662 0.619 0.057

raw total energy: -3.463 eV/atom
DFT formation energy: -0.1085 eV per atom
M_tot: 0.000 μB per atom
space group: Immm

***

MnTlSi2: optimized geometry, PBE.

abc: 5.061 5.061 3.073
angles: 90.00 90.00 110.86
Sites, in units of the cell vectors:
Si 0.000 0.000 0.000
Si 0.500 0.500 0.000
Tl 0.500 0.000 0.500
Mn 0.000 0.500 0.500

raw total energy: -4.968 eV/atom
M_tot: 0.906 μB per atom
energy above the most stable polymorph in this dataset: 495 meV/atom
uncorrected formation energy: 2.51 eV per formula unit
space group: Cmmm

***

Tl2HgRh: optimized geometry, PBE.

abc: 3.386 4.908 5.451
angles: 90.00 90.00 90.00
Sites, in units of the cell vectors:
Tl 0.000 0.000 0.000
Rh 0.000 0.500 0.500
Hg 0.500 0.500 0.000
Tl 0.500 0.000 0.500

raw total energy: -2.780 eV/atom
DFT formation energy: 0.3161 eV per atom
M_tot: 0.000 μB per atom
energy above the most stable polymorph in this dataset: 267 meV/atom
space group: Pmmm

***

CoTeIrRu2: optimized geometry, PBE.

abc: 4.739 4.565 4.739
angles: 90.00 90.00 90.00
Sites, in units of the cell vectors:
Ir 0.000 0.000 0.000
Te 0.500 0.500 0.500
Ru 0.500 0.000 0.000
Co 0.000 0.500 0.000
Ru 0.000 0.000 0.500

raw total energy: -6.149 eV/atom
M_tot: 0.491 μB per atom
uncorrected formation energy: 6.91 eV per formula unit
space group: P4/mmm

***

CaZr2In: optimized geometry, PBE.

abc: 5.571 5.571 5.943
angles: 80.86 80.86 33.93
Sites, in units of the cell vectors:
Zr 0.997 0.997 0.978
Ca 0.508 0.508 0.482
Zr 0.738 0.738 0.796
In 0.258 0.258 0.244

raw total energy: -5.418 eV/atom
DFT formation energy: 0.0412 eV per atom
M_tot: 0.000 μB per atom
space group: Cm

***

CdBPt3: optimized geometry, PBE.

abc: 17.128 7.606 7.606
angles: 147.48 155.91 24.09
Sites, in units of the cell vectors:
B 0.139 0.024 0.976
Cd 0.188 0.213 0.787
Pt 0.491 0.694 0.306
Pt 0.237 0.783 0.217
Pt 0.161 0.549 0.451
Pt 0.509 0.306 0.694
Pt 0.839 0.451 0.549
Pt 0.763 0.217 0.783
B 0.861 0.976 0.024
Cd 0.812 0.787 0.213

raw total energy: -5.315 eV/atom
DFT formation energy: -0.1721 eV per atom
M_tot: 0.000 μB per atom
energy above the most stable polymorph in this dataset: 180 meV/atom
space group: C2/m

***

AcNdIn: optimized geometry, PBE.

abc: 3.990 5.495 5.495
angles: 120.00 90.00 90.00
Sites, in units of the cell vectors:
Ac 0.349 0.333 0.667
In 0.741 0.667 0.333
Nd 0.909 0.000 0.000

raw total energy: -4.083 eV/atom
DFT formation energy: -0.2116 eV per atom
M_tot: 0.000 μB per atom
energy above the most stable polymorph in this dataset: 92 meV/atom
space group: P3m1

***

Mg2TiH6: optimized geometry, PBE.

abc: 4.867 4.867 4.867
angles: 60.00 60.00 60.00
Sites, in units of the cell vectors:
H 0.262 0.738 0.262
H 0.738 0.738 0.262
H 0.738 0.262 0.738
H 0.262 0.738 0.738
H 0.738 0.262 0.262
Mg 0.750 0.750 0.750
Ti 0.000 0.000 0.000
Mg 0.250 0.250 0.250
H 0.262 0.262 0.738

raw total energy: -3.449 eV/atom
M_tot: 0.000 μB per atom
energy above the most stable polymorph in this dataset: 268 meV/atom
space group: Fm-3m

***

Ti2IrAuI: optimized geometry, PBE.

abc: 4.865 5.280 4.865
angles: 90.00 90.00 90.00
Sites, in units of the cell vectors:
I 0.000 0.500 0.000
Ti 0.500 0.000 0.000
Au 0.000 0.000 0.000
Ti 0.000 0.000 0.500
Ir 0.500 0.500 0.500

raw total energy: -4.400 eV/atom
M_tot: 0.000 μB per atom
uncorrected formation energy: 7.48 eV per formula unit
space group: P4/mmm

***

MnHgTeN2: optimized geometry, PBE.

abc: 4.215 4.215 6.718
angles: 90.00 90.00 90.00
Sites, in units of the cell vectors:
N 0.500 0.000 0.000
Te 0.000 0.000 0.500
N 0.000 0.500 0.000
Mn 0.500 0.500 0.500
Hg 0.000 0.000 0.000

raw total energy: -4.003 eV/atom
M_tot: 1.653 μB per atom
energy above the most stable polymorph in this dataset: 1060 meV/atom
uncorrected formation energy: 9.25 eV per formula unit
space group: P4/mmm

***

Mn2MoIr: optimized geometry, PBE.

abc: 2.641 2.641 7.750
angles: 90.00 90.00 89.97
Sites, in units of the cell vectors:
Mn 0.000 0.000 0.515
Mn 0.000 0.000 0.985
Ir 0.500 0.500 0.750
Mo 0.500 0.500 0.250

raw total energy: -9.467 eV/atom
DFT formation energy: 0.0408 eV per atom
M_tot: 0.780 μB per atom
space group: P4/mmm

***

KHgRh2: optimized geometry, PBE.

abc: 5.474 5.474 2.791
angles: 90.00 90.00 112.68
Sites, in units of the cell vectors:
Rh 0.000 0.000 0.000
Hg 0.500 0.000 0.500
K 0.000 0.500 0.500
Rh 0.500 0.500 0.000

raw total energy: -3.386 eV/atom
DFT formation energy: 0.6397 eV per atom
M_tot: 0.319 μB per atom
space group: Cmmm